Density functional theory data (GGA-PBE) for crystalline GdPaPO at its relaxed geometry.

Structure (CIF):
```
data_GdPaPO
_cell_length_a 4.2025
_cell_length_b 4.2025
_cell_length_c 9.1388
_cell_angle_alpha 90.00
_cell_angle_beta 90.00
_cell_angle_gamma 90.00
_space_group_name_H-M_alt 'P 1'
_space_group_IT_number 1
_space_group_name_Hall 'P 1'
loop_
_atom_site_label
_atom_site_fract_x
_atom_site_fract_y
_atom_site_fract_z
Gd1 0.2500 0.2500 0.1084
Gd2 0.7500 0.7500 0.8916
O1 0.7500 0.2500 0.0000
O2 0.2500 0.7500 0.0000
P1 0.7500 0.7500 0.2855
P2 0.2500 0.2500 0.7145
Pa1 0.7500 0.2500 0.5000
Pa2 0.2500 0.7500 0.5000
```

Results
Spin magnetization (μB/f.u.): 0.02
Offset from the most stable computed form (eV/atom): 0.059
Final energy (eV per cell): -59.49
SG: P4/nmm (129)